Entry 1:
Here is an optimized crystal structure of Ac5Tb2 from Alexandria via LeMat-Bulk. Energies are from GGA-PBE.

Results
ΔH_f (0 K) = 0.136 eV/atom
E = -4.12 eV per atom
Space-group type = C2/m, No. 12
Mass density = 8.261 Mg/m³
Density of states at the Fermi level = 12.2 states/eV/f.u.
Magnetization = 0.00 μB per formula unit

a b c (Å): 3.8098 6.5922 12.7122
angles (deg): 101.53 81.38 73.20
Atoms (fractional coordinates):
Ac (0.3756, 0.3895, 0.8593)
Ac (0.6244, 0.6105, 0.1407)
Ac (0.0000, 0.0000, 0.0000)
Ac (0.7599, 0.7771, 0.7031)
Ac (0.2401, 0.2229, 0.2969)
Tb (0.5945, 0.2565, 0.5545)
Tb (0.4055, 0.7435, 0.4455)

=====

Entry 2:
Here is an optimized crystal structure of Ba2ZrAu from Alexandria via LeMat-Bulk. Energies are from GGA-PBE.

Results
ΔH_f (0 K) = 0.345 eV/atom
E = -3.57 eV per atom
Space-group type = I-4m2, No. 119
Mass density = 6.974 Mg/m³
Energy above the most stable polymorph in this dataset = 400 meV/atom
Density of states at the Fermi level = 5.9 states/eV/f.u.
Magnetization = 2.39 μB per formula unit

a b c (Å): 6.6330 6.6330 6.6330
angles (deg): 137.02 137.02 62.41
Each line ends with the local moment (μB).
Atoms (fractional coordinates):
Au (0.7500, 0.2500, 0.5000)  0.03
Ba (0.0000, 0.0000, 0.0000)  0.15
Ba (0.2500, 0.7500, 0.5000)  0.10
Zr (0.5000, 0.5000, 0.0000)  1.12

=====

Entry 3:
Here is an optimized crystal structure of CdSi2P from Alexandria via LeMat-Bulk. Energies are from GGA-PBE.

Results
E = -3.98 eV per atom
Space-group type = Cm, No. 8
Formation energy from raw total energies = 119.6 kJ/mol of formula units
Mass density = 3.850 Mg/m³
Energy above the most stable polymorph in this dataset = 257 meV/atom
Density of states at the Fermi level = 1.5 states/eV/f.u.
Magnetization = 0.00 μB per formula unit

a b c (Å): 5.1608 5.1608 5.3763
angles (deg): 91.92 91.92 36.97
Atoms (fractional coordinates):
Cd (0.5123, 0.5123, 0.4763)
P (0.3360, 0.3360, 0.0687)
Si (0.9875, 0.9875, 0.8905)
Si (0.6643, 0.6643, 0.0646)

=====

Entry 4:
Here is an optimized crystal structure of LiTaSi2 from Alexandria via LeMat-Bulk. Energies are from GGA-PBE.

Results
E = -6.30 eV per atom
Space-group type = P4/mmm, No. 123
Formation energy from raw total energies = -57.1 kJ/mol of formula units
Mass density = 6.507 Mg/m³
Energy above the most stable polymorph in this dataset = 87 meV/atom
Density of states at the Fermi level = 0.9 states/eV/f.u.
Magnetization = 0.00 μB per formula unit

a b c (Å): 2.7531 2.7531 8.2175
angles (deg): 90.00 90.00 90.00
Atoms (fractional coordinates):
Li (0.5000, 0.5000, 0.7500)
Si (0.0000, 0.0000, 0.0036)
Si (0.0000, 0.0000, 0.4964)
Ta (0.5000, 0.5000, 0.2500)

=====

Entry 5:
Here is an optimized crystal structure of Rb2SrBeB from Alexandria via LeMat-Bulk. Energies are from GGA-PBE.

Results
ΔH_f (0 K) = 1.454 eV/atom
E = -1.35 eV per atom
Space-group type = P4/mmm, No. 123
Mass density = 1.967 Mg/m³
Density of states at the Fermi level = 6.0 states/eV/f.u.
Magnetization = 1.18 μB per formula unit

a b c (Å): 6.1996 6.1148 6.1996
angles (deg): 90.00 90.00 90.00
Each line ends with the local moment (μB).
Atoms (fractional coordinates):
Sr (0.0000, 0.5000, 0.0000)  -0.01
B (0.5000, 0.5000, 0.5000)  0.48
Rb (0.0000, 0.0000, 0.5000)  0.00
Rb (0.5000, 0.0000, 0.0000)  -0.01
Be (0.0000, 0.0000, 0.0000)  -0.11

=====

Entry 6:
Here is an optimized crystal structure of PS5F from Alexandria via LeMat-Bulk. Energies are from GGA-PBE.

Results
E = -4.14 eV per atom
Space-group type = P1, No. 1
Formation energy from raw total energies = -102.8 kJ/mol of formula units
Mass density = 1.679 Mg/m³
Magnetization = 0.00 μB per formula unit

a b c (Å): 8.6698 10.1867 8.0715
angles (deg): 136.03 119.30 100.27
Atoms (fractional coordinates):
P (0.7300, 0.2449, 0.4084)
S (0.0414, 0.2581, 0.4470)
S (0.7380, 0.2950, 0.7160)
S (0.2673, 0.0003, 0.8979)
S (0.5127, 0.7655, 0.8372)
S (0.1582, 0.9016, 0.5070)
F (0.0831, 0.0654, 0.2479)

=====

Entry 7:
Here is an optimized crystal structure of Ta4Tc3 from Alexandria via LeMat-Bulk. Energies are from GGA-PBE.

Results
ΔH_f (0 K) = -0.150 eV/atom
E = -11.37 eV per atom
Space-group type = P6/mmm, No. 191
Mass density = 14.192 Mg/m³
Energy above the most stable polymorph in this dataset = 134 meV/atom
Density of states at the Fermi level = 7.9 states/eV/f.u.
Magnetization = 0.00 μB per formula unit

a b c (Å): 5.1535 5.1535 5.1776
angles (deg): 90.00 90.00 120.00
Atoms (fractional coordinates):
Ta (0.0000, 0.0000, 0.2513)
Ta (0.0000, 0.0000, 0.7487)
Ta (0.6667, 0.3333, 0.5000)
Ta (0.3333, 0.6667, 0.5000)
Tc (0.0000, 0.5000, 0.0000)
Tc (0.5000, 0.5000, 0.0000)
Tc (0.5000, 0.0000, 0.0000)

=====

Entry 8:
Here is an optimized crystal structure of AlFe2Ir from Alexandria via LeMat-Bulk. Energies are from GGA-PBE.

Results
ΔH_f (0 K) = -0.097 eV/atom
E = -7.48 eV per atom
Space-group type = Cmm2, No. 35
Mass density = 10.275 Mg/m³
Density of states at the Fermi level = 2.4 states/eV/f.u.
Magnetization = 5.33 μB per formula unit

a b c (Å): 2.6858 2.6858 8.0543
angles (deg): 90.00 90.00 113.02
Each line ends with the local moment (μB).
Atoms (fractional coordinates):
Ir (0.0000, 0.0000, 0.5038)  0.29
Fe (0.0000, 0.0000, 0.0018)  2.31
Fe (0.5000, 0.5000, 0.2378)  2.83
Al (0.5000, 0.5000, 0.7565)  -0.03